Version 1
Density functional theory data (PBE) for a relaxed structure of GaPS2.

Results
The value obtained for the density of states at the Fermi level is 2.6 states/eV per cell. The calculation puts the calculated density at 3.5 g cm⁻³.

Unit cell a=3.4911 b=3.4911 c=22.5245 alpha=90.00 beta=90.00 gamma=120.00
Space group R-3m (No. 166, hexagonal axes)
Symmetry-distinct sites (fractional):
Ga (0.0000, 0.0000, 0.0000) [3 per cell]
P (0.0000, 0.0000, 0.5000) [3 per cell]
S (0.0000, 0.0000, 0.3955) [6 per cell]



Version 2
Density functional theory data (PBE) for a relaxed structure of GaPS2.

Results
The value obtained for the density of states at the Fermi level is 8.5 states/eV per cell. The calculation puts the calculated density at 4.2 g cm⁻³.

Unit cell a=6.377 b=6.377 c=6.377 alpha=90.00 beta=90.00 gamma=90.00
Space group Fm-3m (No. 225)
Symmetry-distinct sites (fractional):
Ga (0.000, 0.000, 0.000) [4 per cell]
P (0.000, 0.000, 0.500) [4 per cell]
S (0.250, 0.250, 0.250) [8 per cell]



Version 3
Density functional theory data (PBE) for a relaxed structure of GaPS2.

Results
The value obtained for the density of states at the Fermi level is 4.3 states/eV per cell. The calculation puts the calculated density at 3.6 g cm⁻³.

Unit cell a=6.552 b=6.552 c=6.996 alpha=90.00 beta=90.00 gamma=90.00
Space group I-42d (No. 122)
Symmetry-distinct sites (fractional):
Ga (0.000, 0.000, 0.000) [4 per cell]
P (0.000, 0.000, 0.500) [4 per cell]
S (0.249, 0.250, 0.625) [8 per cell]



Version 4
Density functional theory data (PBE) for a relaxed structure of GaPS2.

Results
The value obtained for the density of states at the Fermi level is 4.2 states/eV per cell. The calculation puts the calculated density at 3.4 g cm⁻³.

Unit cell a=3.3284 b=3.3284 c=25.0440 alpha=90.00 beta=90.00 gamma=120.00
Space group R-3m (No. 166, hexagonal axes)
Symmetry-distinct sites (fractional):
Ga (0.0000, 0.0000, 0.0000) [3 per cell]
P (0.0000, 0.0000, 0.5000) [3 per cell]
S (0.0000, 0.0000, 0.1112) [6 per cell]



Stability ranking, top and bottom: version 1 is the most stable and version 2 is the least stable.



Version 1
Density functional theory data (PBE) for a relaxed structure of GaPS.

Results
The value obtained for the density of states at the Fermi level is 2.6 states/eV per cell. The calculation puts the calculated density at 4.2 g cm⁻³.

Unit cell a=3.420 b=3.893 c=7.902 alpha=90.00 beta=90.00 gamma=90.00
Space group Cmm2 (No. 35)
Symmetry-distinct sites (fractional):
Ga (0.000, 0.000, 0.000) [2 per cell]
P (0.000, 0.000, 0.343) [2 per cell]
S (0.000, 0.000, 0.633) [2 per cell]



Version 2
Density functional theory data (PBE) for a relaxed structure of GaPS.

Results
The value obtained for the density of states at the Fermi level is 1.5 states/eV per cell. The calculation puts the calculated density at 3.1 g cm⁻³.

Unit cell a=2.968 b=3.319 c=7.309 alpha=90.00 beta=90.00 gamma=90.00
Space group Pmm2 (No. 25)
Symmetry-distinct sites (fractional):
Ga (0.000, 0.000, 0.000) [1 per cell]
P (0.500, 0.000, 0.742) [1 per cell]
S (0.000, 0.500, 0.213) [1 per cell]



Version 3
Density functional theory data (PBE) for a relaxed structure of GaPS.

Results
The value obtained for the density of states at the Fermi level is 1.0 states/eV per cell. The calculation puts the calculated density at 3.4 g cm⁻³.

Unit cell a=3.007 b=4.336 c=5.200 alpha=90.00 beta=106.41 gamma=90.00
Space group Pm (No. 6)
Symmetry-distinct sites (fractional):
Ga (0.000, 0.000, 0.000) [1 per cell]
P (0.844, 0.500, 0.713) [1 per cell]
S (0.192, 0.500, 0.402) [1 per cell]



Stability ranking, top and bottom: version 3 is the most stable and version 1 is the least stable.



Version 1
Density functional theory data (PBE) for a relaxed structure of GaPS.

Results
The calculation puts the calculated density at 3.5 g cm⁻³.

Unit cell a=3.913 b=3.940 c=5.081 alpha=91.93 beta=108.61 gamma=118.32
Space group P1 (No. 1)
Symmetry-distinct sites (fractional):
Ga (0.000, 0.000, 0.000) [1 per cell]
P (0.418, 0.709, 0.169) [1 per cell]
S (0.444, 0.857, 0.582) [1 per cell]



Version 2
Density functional theory data (PBE) for a relaxed structure of GaPS.

Results
The value obtained for the density of states at the Fermi level is 2.2 states/eV per cell. The calculation puts the calculated density at 3.7 g cm⁻³.

Unit cell a=9.749 b=3.490 c=3.666 alpha=90.00 beta=107.87 gamma=90.00
Space group Cm (No. 8)
Symmetry-distinct sites (fractional):
Ga (0.000, 0.000, 0.000) [2 per cell]
P (0.429, 0.000, 0.472) [2 per cell]
S (0.219, 0.000, 0.512) [2 per cell]



Version 3
Density functional theory data (PBE) for a relaxed structure of GaPS.

Results
The value obtained for the density of states at the Fermi level is 0.5 states/eV per cell. The calculation puts the calculated density at 3.2 g cm⁻³.

Unit cell a=3.979 b=5.210 c=7.537 alpha=97.36 beta=103.90 gamma=111.97
Space group P-1 (No. 2)
Symmetry-distinct sites (fractional):
Ga (0.080, 0.324, 0.311) [2 per cell]
P (0.410, 0.794, 0.537) [2 per cell]
S (0.097, 0.720, 0.003) [2 per cell]



Stability ranking, top and bottom: version 1 is the most stable and version 2 is the least stable.



Version 1
Density functional theory data (PBE) for a relaxed structure of Ga2PS.

Results
The value obtained for the density of states at the Fermi level is 2.1 states/eV per cell. The calculation puts the calculated density at 4.0 g cm⁻³.

Unit cell a=3.813 b=4.575 c=4.812 alpha=90.00 beta=90.00 gamma=90.00
Space group Pmm2 (No. 25)
Symmetry-distinct sites (fractional):
Ga (0.000, 0.000, 0.000) [1 per cell]
Ga (0.000, 0.500, 0.245) [1 per cell]
P (0.500, 0.000, 0.699) [1 per cell]
S (0.500, 0.500, 0.572) [1 per cell]



Version 2
Density functional theory data (PBE) for a relaxed structure of Ga2PS.

Results
The value obtained for the density of states at the Fermi level is 9.6 states/eV per cell. The calculation puts the calculated density at 3.8 g cm⁻³.

Unit cell a=5.869 b=5.869 c=10.336 alpha=90.00 beta=90.00 gamma=90.00
Space group I-42d (No. 122)
Symmetry-distinct sites (fractional):
Ga (0.237, 0.250, 0.125) [8 per cell]
P (0.000, 0.000, 0.000) [4 per cell]
S (0.000, 0.000, 0.500) [4 per cell]



Version 3
Density functional theory data (PBE) for a relaxed structure of Ga2PS.

Results
The value obtained for the density of states at the Fermi level is 13.5 states/eV per cell. The calculation puts the calculated density at 4.9 g cm⁻³.

Unit cell a=6.510 b=6.510 c=6.510 alpha=90.00 beta=90.00 gamma=90.00
Space group Fm-3m (No. 225)
Symmetry-distinct sites (fractional):
Ga (0.250, 0.250, 0.250) [8 per cell]
P (0.000, 0.000, 0.000) [4 per cell]
S (0.000, 0.000, 0.500) [4 per cell]



Stability ranking, top and bottom: version 2 is the most stable and version 3 is the least stable.



Version 1
Density functional theory data (PBE) for a relaxed structure of SrGaP2S.

Results
The value obtained for the density of states at the Fermi level is 5.5 states/eV per cell. The calculation puts the calculated density at 2.4 g cm⁻³.

Unit cell a=5.633 b=5.633 c=5.532 alpha=90.00 beta=90.00 gamma=90.00
Space group P4/mmm (No. 123)
Symmetry-distinct sites (fractional):
Sr (0.000, 0.000, 0.000) [1 per cell]
Ga (0.500, 0.500, 0.500) [1 per cell]
P (0.000, 0.500, 0.000) [2 per cell]
S (0.000, 0.000, 0.500) [1 per cell]



Version 2
Density functional theory data (PBE) for a relaxed structure of SrGaP2S.

Results
The value obtained for the density of states at the Fermi level is 4.6 states/eV per cell. The calculation puts the calculated density at 3.7 g cm⁻³.

Unit cell a=4.730 b=4.730 c=5.091 alpha=90.00 beta=90.00 gamma=90.00
Space group P4/mmm (No. 123)
Symmetry-distinct sites (fractional):
Sr (0.000, 0.000, 0.000) [1 per cell]
Ga (0.500, 0.500, 0.500) [1 per cell]
P (0.000, 0.500, 0.500) [2 per cell]
S (0.500, 0.500, 0.000) [1 per cell]



Stability ranking, top and bottom: version 2 is the most stable and version 1 is the least stable.



Version 1
Density functional theory data (PBE) for a relaxed structure of SrGaPS2.

Results
The value obtained for the density of states at the Fermi level is 3.9 states/eV per cell. The calculation puts the calculated density at 2.2 g cm⁻³.

Unit cell a=5.633 b=5.633 c=5.931 alpha=90.00 beta=90.00 gamma=90.00
Space group P4/mmm (No. 123)
Symmetry-distinct sites (fractional):
Sr (0.000, 0.000, 0.000) [1 per cell]
Ga (0.500, 0.500, 0.500) [1 per cell]
P (0.000, 0.000, 0.500) [1 per cell]
S (0.000, 0.500, 0.000) [2 per cell]



Version 2
Density functional theory data (PBE) for a relaxed structure of SrGaPS2.

Results
The value obtained for the density of states at the Fermi level is 3.3 states/eV per cell. The calculation puts the calculated density at 3.7 g cm⁻³.

Unit cell a=4.965 b=4.965 c=4.632 alpha=90.00 beta=90.00 gamma=90.00
Space group P4/mmm (No. 123)
Symmetry-distinct sites (fractional):
Sr (0.000, 0.000, 0.000) [1 per cell]
Ga (0.500, 0.500, 0.500) [1 per cell]
P (0.500, 0.500, 0.000) [1 per cell]
S (0.000, 0.500, 0.500) [2 per cell]



Stability ranking, top and bottom: version 2 is the most stable and version 1 is the least stable.



Version 1
Density functional theory data (PBE) for a relaxed structure of TaGaP2S.

Results
The value obtained for the density of states at the Fermi level is 3.7 states/eV per cell. The calculation puts the calculated density at 5.0 g cm⁻³.

Unit cell a=4.881 b=4.881 c=4.770 alpha=90.00 beta=90.00 gamma=90.00
Space group P4/mmm (No. 123)
Symmetry-distinct sites (fractional):
Ta (0.000, 0.000, 0.000) [1 per cell]
Ga (0.500, 0.500, 0.500) [1 per cell]
P (0.000, 0.500, 0.000) [2 per cell]
S (0.000, 0.000, 0.500) [1 per cell]



Version 2
Density functional theory data (PBE) for a relaxed structure of TaGaP2S.

Results
The value obtained for the density of states at the Fermi level is 5.2 states/eV per cell. The calculation puts the calculated density at 6.1 g cm⁻³.

Unit cell a=4.518 b=4.518 c=4.617 alpha=90.00 beta=90.00 gamma=90.00
Space group P4/mmm (No. 123)
Symmetry-distinct sites (fractional):
Ta (0.000, 0.000, 0.000) [1 per cell]
Ga (0.500, 0.500, 0.500) [1 per cell]
P (0.000, 0.500, 0.500) [2 per cell]
S (0.500, 0.500, 0.000) [1 per cell]



Stability ranking, top and bottom: version 1 is the most stable and version 2 is the least stable.



Version 1
Density functional theory data (PBE) for a relaxed structure of GaTcPS2.

Results
The value obtained for the density of states at the Fermi level is 4.7 states/eV per cell. The calculation puts the calculated density at 4.2 g cm⁻³.

Unit cell a=4.747 b=4.747 c=4.578 alpha=90.00 beta=90.00 gamma=90.00
Space group P4/mmm (No. 123)
Symmetry-distinct sites (fractional):
Ga (0.000, 0.000, 0.000) [1 per cell]
Tc (0.500, 0.500, 0.500) [1 per cell]
P (0.500, 0.500, 0.000) [1 per cell]
S (0.000, 0.500, 0.500) [2 per cell]



Version 2
Density functional theory data (PBE) for a relaxed structure of GaTcPS2.

Results
The value obtained for the density of states at the Fermi level is 2.7 states/eV per cell. The calculation puts the calculated density at 4.3 g cm⁻³.

Unit cell a=4.664 b=4.664 c=4.684 alpha=90.00 beta=90.00 gamma=90.00
Space group P4/mmm (No. 123)
Symmetry-distinct sites (fractional):
Ga (0.000, 0.000, 0.000) [1 per cell]
Tc (0.500, 0.500, 0.500) [1 per cell]
P (0.000, 0.000, 0.500) [1 per cell]
S (0.000, 0.500, 0.000) [2 per cell]



Stability ranking, top and bottom: version 1 is the most stable and version 2 is the least stable.